# Mn2CoCuP (GGA-PBE, relaxed)
# **Size of the total moment**: 7.46 μB/f.u.
# **E_form**: 33.7 kJ/mol of atoms
data_Mn2CoCuP
_chemical_formula_sum 'Mn2 Co1 Cu1 P1'
_symmetry_space_group_name_H-M 'P 4/m m m'
_symmetry_Int_Tables_number 123
_symmetry_space_group_name_Hall '-P 4 2'
_cell_length_a 4.342
_cell_length_b 4.342
_cell_length_c 4.068
_cell_angle_alpha 90.00
_cell_angle_beta 90.00
_cell_angle_gamma 90.00
loop_
_atom_site_label
_atom_site_type_symbol
_atom_site_fract_x
_atom_site_fract_y
_atom_site_fract_z
Mn1 Mn 0.000 0.500 0.000
Co1 Co 0.000 0.000 0.500
Cu1 Cu 0.500 0.500 0.500
P1 P 0.000 0.000 0.000